! Pr2DyZn | the Alexandria database | PBE | optimized geometry; values from VASP
&SYSTEM
  ibrav = 0, nat = 16, ntyp = 3
/
ATOMIC_SPECIES
Pr 140.91 Pr.upf
Dy 162.50 Dy.upf
Zn 65.41 Zn.upf
ATOMIC_POSITIONS crystal
Pr 0.000 0.000 0.145
Pr 0.000 0.000 0.855
Pr 0.000 0.500 0.000
Pr 0.000 0.500 0.500
Pr 0.500 0.000 0.000
Pr 0.500 0.000 0.500
Pr 0.500 0.500 0.355
Pr 0.500 0.500 0.645
Dy 0.000 0.000 0.349
Dy 0.000 0.000 0.651
Dy 0.500 0.500 0.151
Dy 0.500 0.500 0.849
Zn 0.000 0.500 0.250
Zn 0.000 0.500 0.750
Zn 0.500 0.000 0.250
Zn 0.500 0.000 0.750
CELL_PARAMETERS angstrom
5.182 0.000 0.000
0.000 5.182 0.000
0.000 0.000 17.563
! E above lowest polymorph: 0 meV/atom
! Raw total energy: -4.012 eV/atom
! Fermi-level density of states: 17.4 states/eV/cell
! Energy of formation: -153.2 meV/atom
! V: 29.48 Å³/atom
! SG: I4/mmm
! Density: 7.18 Mg/m³

---

! PrDy4Zn | the Alexandria database | PBE | optimized geometry; values from VASP
&SYSTEM
  ibrav = 0, nat = 12, ntyp = 3
/
ATOMIC_SPECIES
Pr 140.91 Pr.upf
Dy 162.50 Dy.upf
Zn 65.41 Zn.upf
ATOMIC_POSITIONS crystal
Pr 0.102 0.898 0.750
Pr 0.898 0.102 0.250
Dy 0.118 0.333 0.869
Dy 0.215 0.575 0.447
Dy 0.333 0.118 0.369
Dy 0.425 0.785 0.053
Dy 0.575 0.215 0.947
Dy 0.667 0.882 0.631
Dy 0.785 0.425 0.553
Dy 0.882 0.667 0.131
Zn 0.500 0.500 0.250
Zn 0.500 0.500 0.750
CELL_PARAMETERS angstrom
4.451 -6.813 0.000
4.451 6.813 0.000
-2.024 0.000 5.882
! E above lowest polymorph: 92 meV/atom
! Raw total energy: -4.081 eV/atom
! Fermi-level density of states: 17.4 states/eV/cell
! Energy of formation: -4.1 meV/atom
! V: 29.73 Å³/atom
! SG: C2/c
! Density: 7.97 Mg/m³